# VAgHgO4

An optimized crystal structure of VAgHgO4 (PBE+U, Alexandria).

Summary:
total moment = 0.0000 μB per atom
E_tot = -0.1971 hartree per atom

Lattice parameters (Å, degrees): 6.233 6.817 6.250 90.00 113.00 90.00
Space group P2_1/m (No. 11)
One atom of each set of equivalent atoms:
V (0.119, 0.250, 0.382)
Ag (0.499, 0.750, 0.000)
Hg (0.209, 0.750, 0.290)
O (0.181, 0.750, 0.714)
O (0.217, 0.250, 0.681)
O (0.225, 0.048, 0.274)